! CaAcTb4, relaxed, DFT PBE-GGA; values from VASP
! SG: F-43m
! DFT formation energy: 0.192 eV/atom
&SYSTEM
  ibrav = 0, nat = 6, ntyp = 3
/
ATOMIC_SPECIES
Ac 227.00 Ac.upf
Tb 158.93 Tb.upf
Ca 40.08 Ca.upf
ATOMIC_POSITIONS crystal
Ac 0.2500 0.2500 0.2500
Tb 0.6245 0.6245 0.1265
Tb 0.6245 0.1265 0.6245
Tb 0.6245 0.6245 0.6245
Tb 0.1265 0.6245 0.6245
Ca 0.0000 0.0000 0.0000
CELL_PARAMETERS angstrom
-5.8765 -1.1821 -3.2090
-5.0109 -3.3068 3.1914
-5.6237 3.3340 1.8673

***

! ScCo2B, relaxed, DFT PBE-GGA; values from VASP
! SG: I-42d
! DFT formation energy: 0.097 eV/atom
&SYSTEM
  ibrav = 0, nat = 8, ntyp = 3
/
ATOMIC_SPECIES
Sc 44.96 Sc.upf
B 10.81 B.upf
Co 58.93 Co.upf
ATOMIC_POSITIONS crystal
Sc 0.0000 0.0000 0.0000
Sc 0.7500 0.2500 0.5000
B 0.5000 0.5000 0.0000
B 0.2500 0.7500 0.5000
Co 0.4594 0.1250 0.2500
Co 0.2906 0.6250 0.2500
Co 0.3750 0.5406 0.7500
Co 0.8750 0.7094 0.7500
CELL_PARAMETERS angstrom
4.0676 0.0000 0.0000
0.0000 4.0676 0.0000
2.0338 2.0338 6.7518

***

! Tm8MgGe3Te4, relaxed, DFT PBE-GGA; values from VASP
! Energy relative to the elements, uncorrected: -933 meV/atom
! SG: R-3m
&SYSTEM
  ibrav = 0, nat = 16, ntyp = 4
/
ATOMIC_SPECIES
Tm 168.93 Tm.upf
Mg 24.30 Mg.upf
Ge 72.64 Ge.upf
Te 127.60 Te.upf
ATOMIC_POSITIONS crystal
Tm 0.2527 0.7309 0.9781
Tm 0.2527 0.7309 0.5055
Tm 0.2620 0.2861 0.5241
Tm 0.7254 0.7309 0.9781
Tm 0.2746 0.2691 0.0219
Tm 0.7380 0.7139 0.4759
Tm 0.7472 0.2691 0.4945
Tm 0.7473 0.2691 0.0219
Mg 0.0000 0.5000 0.0000
Ge 0.5000 0.5000 0.0000
Ge 0.5000 0.5000 0.5000
Ge 0.0000 0.5000 0.5000
Te 0.5000 0.0000 0.0000
Te 0.5000 0.0000 0.5000
Te 0.0000 0.0000 0.0000
Te 0.0000 0.0000 0.5000
CELL_PARAMETERS angstrom
-3.0750 5.3625 -5.7196
5.0675 -3.4444 -5.9538
-5.2280 -4.9492 4.3707

***

! Cs2AsO3, relaxed, DFT PBE-GGA; values from VASP
! Energy relative to the elements, uncorrected: -1292 meV/atom
! SG: Fmmm
&SYSTEM
  ibrav = 0, nat = 12, ntyp = 3
/
ATOMIC_SPECIES
Cs 132.91 Cs.upf
As 74.92 As.upf
O 16.00 O.upf
ATOMIC_POSITIONS crystal
Cs 0.7500 0.2500 0.5000
Cs 0.7340 0.2660 0.0000
Cs 0.2500 0.7500 0.5000
Cs 0.2660 0.7340 0.0000
As 0.7323 0.7323 0.4646
As 0.2677 0.2677 0.5354
O 0.7731 0.7731 0.3296
O 0.4435 0.4435 0.6704
O 0.2269 0.2269 0.6704
O 0.5565 0.5565 0.3296
O 0.1440 0.1440 0.2879
O 0.8560 0.8560 0.7121
CELL_PARAMETERS angstrom
-2.6532 7.3783 1.4147
-6.7055 0.6232 4.2576
8.4531 -3.7770 3.0745

***

! LiSbS2, relaxed, DFT PBE-GGA; values from VASP
! Energy relative to the elements, uncorrected: -513 meV/atom
! SG: I-42d
&SYSTEM
  ibrav = 0, nat = 8, ntyp = 3
/
ATOMIC_SPECIES
Sb 121.76 Sb.upf
S 32.06 S.upf
Li 6.94 Li.upf
ATOMIC_POSITIONS crystal
Sb 0.0000 0.0000 0.0000
Sb 0.7500 0.2500 0.5000
S 0.6022 0.1250 0.2500
S 0.1478 0.6250 0.2500
S 0.3750 0.3978 0.7500
S 0.8750 0.8522 0.7500
Li 0.5000 0.5000 0.0000
Li 0.2500 0.7500 0.5000
CELL_PARAMETERS angstrom
5.7956 0.0000 0.0000
0.0000 5.7956 0.0000
2.8978 2.8978 6.2502

***

! Si3RuI, relaxed, DFT PBE-GGA; values from VASP
! Energy relative to the elements, uncorrected: 202 meV/atom
! SG: Pm-3m
! Energy relative to the lowest polymorph listed for this composition: 0 meV/atom
&SYSTEM
  ibrav = 0, nat = 5, ntyp = 3
/
ATOMIC_SPECIES
I 126.90 I.upf
Ru 101.07 Ru.upf
Si 28.09 Si.upf
ATOMIC_POSITIONS crystal
I 0.5000 0.5000 0.5000
Ru 0.0000 0.0000 0.0000
Si 0.0000 0.5000 0.0000
Si 0.0000 0.0000 0.5000
Si 0.5000 0.0000 0.0000
CELL_PARAMETERS angstrom
4.7003 0.0000 0.0000
0.0000 4.7003 0.0000
0.0000 0.0000 4.7003

***

! Li2CeDy, relaxed, DFT PBE-GGA; values from VASP
! SG: R-3m
! Energy relative to the lowest polymorph listed for this composition: 17 meV/atom
! DFT formation energy: 0.269 eV/atom
&SYSTEM
  ibrav = 0, nat = 4, ntyp = 3
/
ATOMIC_SPECIES
Li 6.94 Li.upf
Ce 140.12 Ce.upf
Dy 162.50 Dy.upf
ATOMIC_POSITIONS crystal
Li 0.0882 0.0882 0.7355
Li 0.9118 0.9118 0.2645
Ce 0.0000 0.0000 0.0000
Dy 0.5000 0.5000 0.5000
CELL_PARAMETERS angstrom
3.1632 0.0000 0.0000
1.5816 2.7395 0.0000
1.5816 0.9132 11.9994

***

! Al2FeOsW, relaxed, DFT PBE-GGA; values from VASP
! SG: P4/mmm
! DFT formation energy: 1.343 eV/atom
&SYSTEM
  ibrav = 0, nat = 5, ntyp = 4
/
ATOMIC_SPECIES
Os 190.23 Os.upf
Fe 55.84 Fe.upf
W 183.84 W.upf
Al 26.98 Al.upf
ATOMIC_POSITIONS crystal
Os 0.0000 0.0000 0.0000
Fe 0.0000 0.0000 0.5000
W 0.5000 0.5000 0.5000
Al 0.0000 0.5000 0.0000
Al 0.5000 0.0000 0.0000
CELL_PARAMETERS angstrom
-1.0823 1.5925 4.1045
3.4218 -2.3553 1.8161
2.8400 3.6203 -0.6558

***

! Y3Co4, relaxed, DFT PBE-GGA; values from VASP
! SG: P6/mmm
! Energy relative to the lowest polymorph listed for this composition: 806 meV/atom
! DFT formation energy: 0.609 eV/atom
&SYSTEM
  ibrav = 0, nat = 7, ntyp = 2
/
ATOMIC_SPECIES
Y 88.91 Y.upf
Co 58.93 Co.upf
ATOMIC_POSITIONS crystal
Y 0.0000 0.5000 0.0000
Y 0.5000 0.5000 0.0000
Y 0.5000 0.0000 0.0000
Co 0.0000 0.0000 0.2495
Co 0.0000 0.0000 0.7505
Co 0.6667 0.3333 0.5000
Co 0.3333 0.6667 0.5000
CELL_PARAMETERS angstrom
-2.1174 2.7214 5.3307
-1.8303 -5.8911 -1.5001
3.2721 -1.5489 2.0904

***

! CsPt2S4, relaxed, DFT PBE-GGA; values from VASP
! Energy relative to the elements, uncorrected: -199 meV/atom
! SG: I4/mmm
&SYSTEM
  ibrav = 0, nat = 7, ntyp = 3
/
ATOMIC_SPECIES
Cs 132.91 Cs.upf
Pt 195.08 Pt.upf
S 32.06 S.upf
ATOMIC_POSITIONS crystal
Cs 0.0000 0.0000 0.0000
Pt 0.7500 0.2500 0.5000
Pt 0.2500 0.7500 0.5000
S 0.5000 0.2131 0.7131
S 0.7869 0.5000 0.2869
S 0.2131 0.5000 0.7131
S 0.5000 0.7869 0.2869
CELL_PARAMETERS angstrom
-1.0883 -4.9530 -3.9634
-2.5931 0.2652 5.8848
-2.6456 5.0077 -3.0577

***

! TcNi2Se, relaxed, DFT PBE-GGA; values from VASP
! Energy relative to the elements, uncorrected: 195 meV/atom
! SG: I-4m2
&SYSTEM
  ibrav = 0, nat = 4, ntyp = 3
/
ATOMIC_SPECIES
Ni 58.69 Ni.upf
Se 78.96 Se.upf
Tc 98.00 Tc.upf
ATOMIC_POSITIONS crystal
Ni 0.0000 0.0000 0.0000
Ni 0.7500 0.2500 0.5000
Se 0.5000 0.5000 0.0000
Tc 0.2500 0.7500 0.5000
CELL_PARAMETERS angstrom
4.1939 -0.0608 -0.0124
0.0627 4.1939 0.0124
-2.1202 -2.0749 2.9621

***

! UPaNb, relaxed, DFT PBE-GGA; values from VASP
! SG: Pmma
! Energy relative to the lowest polymorph listed for this composition: 621 meV/atom
! DFT formation energy: 0.721 eV/atom
&SYSTEM
  ibrav = 0, nat = 6, ntyp = 3
/
ATOMIC_SPECIES
Nb 92.91 Nb.upf
Pa 231.04 Pa.upf
U 238.03 U.upf
ATOMIC_POSITIONS crystal
Nb 0.8722 0.0000 0.7500
Nb 0.1278 0.0000 0.2500
Pa 0.5409 0.5000 0.2500
Pa 0.4591 0.5000 0.7500
U 0.0000 0.5000 0.5000
U 0.0000 0.5000 0.0000
CELL_PARAMETERS angstrom
5.3043 0.0000 0.0000
0.0000 4.5679 0.0000
0.0000 0.0000 5.9714

***

| no. | magnetic moment (μB/atom) |
| --- | --- |
| 1 | 0.00 |
| 2 | 0.00 |
| 3 | 0.00 |
| 4 | 0.00 |
| 5 | 0.00 |
| 6 | 0.00 |
| 7 | 0.14 |
| 8 | 1.01 |
| 9 | 0.57 |
| 10 | 0.00 |
| 11 | 0.00 |
| 12 | 0.39 |